1.
ThNiGe2 after structural relaxation, computed with PBE.

```
data_ThNiGe2
_chemical_formula_sum 'Th4 Ni4 Ge8'
_cell_length_a 4.2354
_cell_length_b 6.8341
_cell_length_c 10.5636
_cell_angle_alpha 90.00
_cell_angle_beta 90.00
_cell_angle_gamma 90.00
_symmetry_space_group_name_H-M 'P 1'
_symmetry_Int_Tables_number 1
loop_
_symmetry_equiv_pos_as_xyz
'x,y,z'
loop_
_atom_site_label
_atom_site_type_symbol
_atom_site_fract_x
_atom_site_fract_y
_atom_site_fract_z
Ni1 Ni 0.7500 0.5034 0.1409
Th1 Th 0.7500 0.1746 0.8685
Ge1 Ge 0.2500 0.3519 0.0683
Ni2 Ni 0.2500 0.9966 0.6409
Th2 Th 0.2500 0.8254 0.1315
Ge2 Ge 0.7500 0.6512 0.3392
Ni3 Ni 0.2500 0.4966 0.8591
Ge3 Ge 0.7500 0.1512 0.1608
Ge4 Ge 0.2500 0.3488 0.6608
Ge5 Ge 0.2500 0.8488 0.8392
Th3 Th 0.2500 0.3254 0.3685
Th4 Th 0.7500 0.6746 0.6315
Ge6 Ge 0.7500 0.1481 0.5683
Ge7 Ge 0.2500 0.8519 0.4317
Ge8 Ge 0.7500 0.6481 0.9317
Ni4 Ni 0.7500 0.0034 0.3591
```

## Properties
Space-group type   Pnma, No. 62
Total energy   -6.3031 eV/atom
Formation energy   -0.6942 eV per atom


2.
Ba2RuSe after structural relaxation, computed with PBE.

```
data_Ba2RuSe
_chemical_formula_sum 'Ba2 Ru1 Se1'
_cell_length_a 3.9673
_cell_length_b 3.9597
_cell_length_c 8.8485
_cell_angle_alpha 63.43
_cell_angle_beta 90.00
_cell_angle_gamma 90.00
_symmetry_space_group_name_H-M 'P 1'
_symmetry_Int_Tables_number 1
loop_
_symmetry_equiv_pos_as_xyz
'x,y,z'
loop_
_atom_site_label
_atom_site_type_symbol
_atom_site_fract_x
_atom_site_fract_y
_atom_site_fract_z
Ba1 Ba 0.0000 0.0064 0.9938
Ba2 Ba 0.0000 0.4936 0.5062
Ru1 Ru 0.5000 0.2500 0.2500
Se1 Se 0.5000 0.7500 0.7500
```

## Properties
Space-group type   P4/mmm, No. 123
Total energy   -4.4509 eV/atom
Uncorrected formation energy   -299.4 meV/atom


3.
AlMoP after structural relaxation, computed with PBE.

```
data_AlMoP
_chemical_formula_sum 'Al1 Mo1 P1'
_cell_length_a 4.1579
_cell_length_b 4.1579
_cell_length_c 4.1579
_cell_angle_alpha 60.00
_cell_angle_beta 60.00
_cell_angle_gamma 60.00
_symmetry_space_group_name_H-M 'P 1'
_symmetry_Int_Tables_number 1
loop_
_symmetry_equiv_pos_as_xyz
'x,y,z'
loop_
_atom_site_label
_atom_site_type_symbol
_atom_site_fract_x
_atom_site_fract_y
_atom_site_fract_z
Al1 Al 0.5000 0.5000 0.5000
P1 P 0.0000 0.0000 0.0000
Mo1 Mo 0.7500 0.7500 0.7500
```

## Properties
Space-group type   F-43m, No. 216
Total energy   -6.3591 eV/atom
Formation energy   0.3021 eV per atom


4.
Tb6Ce2Y5 after structural relaxation, computed with PBE.

```
data_Tb6Ce2Y5
_chemical_formula_sum 'Tb12 Ce4 Y10'
_cell_length_a 3.5583
_cell_length_b 11.4072
_cell_length_c 20.8258
_cell_angle_alpha 90.00
_cell_angle_beta 90.00
_cell_angle_gamma 90.00
_symmetry_space_group_name_H-M 'P 1'
_symmetry_Int_Tables_number 1
loop_
_symmetry_equiv_pos_as_xyz
'x,y,z'
loop_
_atom_site_label
_atom_site_type_symbol
_atom_site_fract_x
_atom_site_fract_y
_atom_site_fract_z
Ce1 Ce 0.0000 0.3083 0.2651
Tb1 Tb 0.0000 0.4131 0.5607
Tb2 Tb 0.0000 0.5869 0.4393
Y1 Y 0.5000 0.1848 0.9190
Tb3 Tb 0.0000 0.4329 0.8526
Ce2 Ce 0.0000 0.1917 0.7651
Tb4 Tb 0.0000 0.9329 0.6474
Tb5 Tb 0.5000 0.3177 0.1252
Tb6 Tb 0.0000 0.0869 0.0607
Y2 Y 0.5000 0.5634 0.2945
Ce3 Ce 0.0000 0.8083 0.2349
Y3 Y 0.5000 0.6848 0.5810
Y4 Y 0.5000 0.9366 0.7945
Y5 Y 0.5000 0.5000 0.0000
Ce4 Ce 0.0000 0.6917 0.7349
Tb7 Tb 0.5000 0.8177 0.3748
Tb8 Tb 0.5000 0.6823 0.8748
Tb9 Tb 0.5000 0.1823 0.6252
Tb10 Tb 0.0000 0.5671 0.1474
Y6 Y 0.5000 0.8152 0.0810
Y7 Y 0.5000 0.3152 0.4190
Y8 Y 0.5000 0.0000 0.5000
Y9 Y 0.5000 0.0634 0.2055
Y10 Y 0.5000 0.4366 0.7055
Tb11 Tb 0.0000 0.9131 0.9393
Tb12 Tb 0.0000 0.0671 0.3526
```

## Properties
Space-group type   Pbam, No. 55
Total energy   -5.4060 eV/atom
Formation energy   0.1301 eV per atom